# 1
7
Lattice="2.1701 1.2529 9.2286 -2.1701 1.2529 9.2286 0.0000 -2.5058 9.2286" Properties=species:S:1:pos:R:3 comment="PBE CaHo2Cu2Ge2, relaxed" magnetic_moment_mub_per_fu=0.000 formation_enthalpy_0k_ev_per_atom=-0.4641 pbc="T T T"
Ca 0.0000 0.0000 0.0000
Ho 0.0000 0.0000 3.5258
Ho 0.0000 0.0000 24.1599
Cu 0.0000 0.0000 11.2497
Cu 0.0000 0.0000 16.4360
Ge 0.0000 0.0000 7.1218
Ge 0.0000 0.0000 20.5639

---

# 2
4
Lattice="0.0000 3.5347 3.5347 3.5347 0.0000 3.5347 3.5347 3.5347 0.0000" Properties=species:S:1:pos:R:3 comment="PBE CaHoCuGe, relaxed" magnetic_moment_mub_per_fu=0.000 formation_enthalpy_0k_ev_per_atom=-0.4518 pbc="T T T"
Ca 0.0000 0.0000 0.0000
Ho 3.5347 3.5347 3.5347
Cu 1.7673 1.7673 1.7673
Ge 5.3020 5.3020 5.3020

---

# 3
6
Lattice="4.2745 0.0000 0.0000 -2.1372 3.7018 0.0000 0.0000 0.0000 7.4904" Properties=species:S:1:pos:R:3 comment="PBE CaHoCu2Ge2, relaxed" magnetic_moment_mub_per_fu=0.000 formation_enthalpy_0k_ev_per_atom=-0.5737 pbc="T T T"
Ca 0.0000 0.0000 0.0000
Ho 0.0000 0.0000 3.7452
Cu 0.0000 2.4679 5.4663
Cu 2.1372 1.2339 2.0241
Ge 0.0000 2.4679 2.0329
Ge 2.1372 1.2339 5.4575

---

# 4
6
Lattice="4.6993 0.0000 0.0000 0.0000 4.6993 0.0000 0.0000 0.0000 6.1129" Properties=species:S:1:pos:R:3 comment="PBE CaIn2Cu2Ge, relaxed" magnetic_moment_mub_per_fu=0.000 formation_enthalpy_0k_ev_per_atom=-0.0299 pbc="T T T"
Ca 0.0000 0.0000 0.0000
In 2.3497 2.3497 1.4629
In 2.3497 2.3497 4.6500
Cu 0.0000 2.3497 3.0565
Cu 2.3497 0.0000 3.0565
Ge 0.0000 0.0000 3.0565

---

# 5
10
Lattice="4.1679 0.0000 0.0000 0.0000 4.1679 0.0000 0.0000 0.0000 11.0444" Properties=species:S:1:pos:R:3 comment="PBE Ca2InCu3Ge4, relaxed" magnetic_moment_mub_per_fu=0.000 formation_enthalpy_0k_ev_per_atom=-0.3206 pbc="T T T"
Ca 0.0000 2.0840 2.6281
Ca 2.0840 0.0000 8.4163
In 0.0000 0.0000 5.5222
Cu 0.0000 2.0840 9.6141
Cu 2.0840 0.0000 1.4303
Cu 2.0840 2.0840 5.5222
Ge 0.0000 0.0000 0.0000
Ge 0.0000 2.0840 7.2195
Ge 2.0840 0.0000 3.8249
Ge 2.0840 2.0840 0.0000

---

# 6
10
Lattice="4.2598 0.0000 0.0000 0.0000 4.2598 0.0000 0.0000 0.0000 10.1895" Properties=species:S:1:pos:R:3 comment="PBE Ca2CuGe4Ir3, relaxed" magnetic_moment_mub_per_fu=0.000 formation_enthalpy_0k_ev_per_atom=-0.5273 pbc="T T T"
Ca 0.0000 2.1299 2.5365
Ca 2.1299 0.0000 7.6530
Cu 0.0000 0.0000 5.0948
Ge 0.0000 0.0000 0.0000
Ge 0.0000 2.1299 6.4036
Ge 2.1299 0.0000 3.7859
Ge 2.1299 2.1299 0.0000
Ir 0.0000 2.1299 8.8774
Ir 2.1299 0.0000 1.3121
Ir 2.1299 2.1299 5.0948

---

# 7
5
Lattice="-2.0860 2.0860 5.2314 2.0860 -2.0860 5.2314 2.0860 2.0860 -5.2314" Properties=species:S:1:pos:R:3 comment="PBE CaCuGe2Ir, relaxed" magnetic_moment_mub_per_fu=0.000 formation_enthalpy_0k_ev_per_atom=-0.4608 pbc="T T T"
Ca 0.0000 0.0000 0.0000
Cu 2.0860 0.0000 2.6157
Ge 0.0000 0.0000 3.9391
Ge 0.0000 0.0000 6.5236
Ir 0.0000 2.0860 2.6157

---

# 8
6
Lattice="4.2674 0.0000 0.0000 -2.1337 3.6957 0.0000 0.0000 0.0000 8.1697" Properties=species:S:1:pos:R:3 comment="PBE CaLaCu2Ge2, relaxed" magnetic_moment_mub_per_fu=0.000 formation_enthalpy_0k_ev_per_atom=-0.5755 pbc="T T T"
Ca 0.0000 0.0000 0.0000
La 0.0000 0.0000 4.0848
Cu 0.0000 2.4638 1.9451
Cu 2.1337 1.2319 6.2245
Ge 0.0000 2.4638 6.1278
Ge 2.1337 1.2319 2.0418

---

# 9
7
Lattice="2.1907 1.2648 9.8712 -2.1907 1.2648 9.8712 0.0000 -2.5296 9.8712" Properties=species:S:1:pos:R:3 comment="PBE CaLa2Cu2Ge2, relaxed" magnetic_moment_mub_per_fu=0.000 formation_enthalpy_0k_ev_per_atom=-0.4648 pbc="T T T"
Ca 0.0000 0.0000 0.0000
La 0.0000 0.0000 3.7217
La 0.0000 0.0000 25.8920
Cu 0.0000 0.0000 11.7813
Cu 0.0000 0.0000 17.8324
Ge 0.0000 0.0000 7.8425
Ge 0.0000 0.0000 21.7712

---

# 10
7
Lattice="2.1352 1.2328 11.3879 -2.1352 1.2328 11.3879 0.0000 -2.4656 11.3879" Properties=species:S:1:pos:R:3 comment="PBE Ca2LaCu2Ge2, relaxed" magnetic_moment_mub_per_fu=0.000 formation_enthalpy_0k_ev_per_atom=-0.5134 pbc="T T T"
Ca 0.0000 0.0000 3.9521
Ca 0.0000 0.0000 30.2117
La 0.0000 0.0000 0.0000
Cu 0.0000 0.0000 13.5049
Cu 0.0000 0.0000 20.6588
Ge 0.0000 0.0000 9.3280
Ge 0.0000 0.0000 24.8358

---

# 11
4
Lattice="0.0000 3.6579 3.6579 3.6579 0.0000 3.6579 3.6579 3.6579 0.0000" Properties=species:S:1:pos:R:3 comment="PBE CaLaCuGe, relaxed" magnetic_moment_mub_per_fu=0.000 formation_enthalpy_0k_ev_per_atom=-0.4685 pbc="T T T"
Ca 0.0000 0.0000 0.0000
La 3.6579 3.6579 3.6579
Cu 1.8289 1.8289 1.8289
Ge 5.4868 5.4868 5.4868

---

# 12
10
Lattice="4.3598 0.0000 0.0000 0.0000 4.3598 0.0000 0.0000 0.0000 10.9616" Properties=species:S:1:pos:R:3 comment="PBE CaLa2Cu3Ge4, relaxed" magnetic_moment_mub_per_fu=0.000 formation_enthalpy_0k_ev_per_atom=-0.4968 pbc="T T T"
Ca 0.0000 0.0000 0.0000
La 0.0000 2.1799 7.9471
La 2.1799 0.0000 3.0146
Cu 0.0000 2.1799 4.2387
Cu 2.1799 0.0000 6.7229
Cu 2.1799 2.1799 0.0000
Ge 0.0000 0.0000 5.4808
Ge 0.0000 2.1799 1.8161
Ge 2.1799 0.0000 9.1455
Ge 2.1799 2.1799 5.4808

---

# 13
6
Lattice="4.2065 0.0000 0.0000 -2.1033 3.6430 0.0000 0.0000 0.0000 6.8081" Properties=species:S:1:pos:R:3 comment="PBE LiCaCu2Ge2, relaxed" magnetic_moment_mub_per_fu=0.000 formation_enthalpy_0k_ev_per_atom=-0.3691 pbc="T T T"
Li 0.0000 0.0000 0.0000
Ca 0.0000 0.0000 3.4040
Cu 0.0000 2.4286 1.1376
Cu 2.1033 1.2143 5.6705
Ge 0.0000 2.4286 5.3936
Ge 2.1033 1.2143 1.4145

---

# 14
10
Lattice="4.2165 0.0000 0.0000 0.0000 4.2165 0.0000 0.0000 0.0000 10.2181" Properties=species:S:1:pos:R:3 comment="PBE LiCa2Cu3Ge4, relaxed" magnetic_moment_mub_per_fu=0.000 formation_enthalpy_0k_ev_per_atom=-0.3474 pbc="T T T"
Li 0.0000 0.0000 0.0000
Ca 0.0000 2.1082 7.7020
Ca 2.1082 0.0000 2.5161
Cu 0.0000 2.1082 3.7568
Cu 2.1082 0.0000 6.4613
Cu 2.1082 2.1082 0.0000
Ge 0.0000 0.0000 5.1090
Ge 0.0000 2.1082 1.3532
Ge 2.1082 0.0000 8.8649
Ge 2.1082 2.1082 5.1090

---

# 15
5
Lattice="4.7326 0.0000 0.0000 0.0000 4.7326 0.0000 0.0000 0.0000 4.5610" Properties=species:S:1:pos:R:3 comment="PBE Li2CaCuGe, relaxed" magnetic_moment_mub_per_fu=0.001 formation_enthalpy_0k_ev_per_atom=-0.1462 pbc="T T T"
Li 0.0000 2.3663 0.0000
Li 2.3663 0.0000 0.0000
Ca 0.0000 0.0000 2.2805
Cu 2.3663 2.3663 0.0000
Ge 2.3663 2.3663 2.2805

---

# 16
4
Lattice="0.0000 3.2396 3.2396 3.2396 0.0000 3.2396 3.2396 3.2396 0.0000" Properties=species:S:1:pos:R:3 comment="PBE LiCaCuGe, relaxed" magnetic_moment_mub_per_fu=0.000 formation_enthalpy_0k_ev_per_atom=-0.3195 pbc="T T T"
Li 0.0000 0.0000 0.0000
Ca 1.6198 1.6198 1.6198
Cu 3.2396 3.2396 3.2396
Ge 4.8593 4.8593 4.8593

---

# 17
18
Lattice="2.9851 1.7234 9.3416 -2.9851 1.7234 9.3416 0.0000 -3.4469 9.3416" Properties=species:S:1:pos:R:3 comment="PBE Li3Ca2Cu12Ge, relaxed" magnetic_moment_mub_per_fu=0.000 formation_enthalpy_0k_ev_per_atom=0.1120 pbc="T T T"
Li -1.4925 -0.8617 9.3416
Li -1.4925 0.8617 18.6831
Li 0.0000 1.7234 9.3416
Ca 0.0000 0.0000 4.0774
Ca 0.0000 0.0000 23.9473
Cu 0.0000 -2.0768 7.9823
Cu -1.7985 1.0384 7.9823
Cu -1.3081 -0.7552 12.0466
Cu -1.7985 -1.0384 20.0425
Cu 0.0000 -1.5104 15.9781
Cu -1.3081 0.7552 15.9781
Cu 1.3081 -0.7552 12.0466
Cu 0.0000 1.5104 12.0466
Cu 1.7985 1.0384 7.9823
Cu 1.3081 0.7552 15.9781
Cu 1.7985 -1.0384 20.0424
Cu 0.0000 2.0768 20.0424
Ge 0.0000 0.0000 14.0124

---

# 18
6
Lattice="4.2457 0.0000 0.0000 -2.1229 3.6769 0.0000 0.0000 0.0000 6.9824" Properties=species:S:1:pos:R:3 comment="PBE CaMgCu2Ge2, relaxed" magnetic_moment_mub_per_fu=0.000 formation_enthalpy_0k_ev_per_atom=-0.3416 pbc="T T T"
Ca 0.0000 0.0000 0.0000
Mg 0.0000 0.0000 3.4912
Cu 0.0000 2.4513 4.7588
Cu 2.1229 1.2256 2.2236
Ge 0.0000 2.4513 1.9203
Ge 2.1229 1.2256 5.0621

---

# 19
10
Lattice="4.1506 0.0000 0.0000 0.0000 4.1506 0.0000 0.0000 0.0000 10.4494" Properties=species:S:1:pos:R:3 comment="PBE Ca2MnCu3Ge4, relaxed" magnetic_moment_mub_per_fu=3.017 formation_enthalpy_0k_ev_per_atom=-0.3418 pbc="T T T"
Ca 0.0000 2.0753 2.6024
Ca 2.0753 0.0000 7.8470
Mn 0.0000 0.0000 5.2247
Cu 0.0000 2.0753 9.0374
Cu 2.0753 0.0000 1.4121
Cu 2.0753 2.0753 5.2247
Ge 0.0000 0.0000 0.0000
Ge 0.0000 2.0753 6.6053
Ge 2.0753 0.0000 3.8441
Ge 2.0753 2.0753 0.0000

---

# 20
7
Lattice="2.1270 1.2280 11.2252 -2.1270 1.2280 11.2252 0.0000 -2.4561 11.2252" Properties=species:S:1:pos:R:3 comment="PBE Ca2NdCu2Ge2, relaxed" magnetic_moment_mub_per_fu=0.000 formation_enthalpy_0k_ev_per_atom=-0.5067 pbc="T T T"
Ca 0.0000 0.0000 3.8764
Ca 0.0000 0.0000 29.7992
Nd 0.0000 0.0000 0.0000
Cu 0.0000 0.0000 13.2385
Cu 0.0000 0.0000 20.4370
Ge 0.0000 0.0000 9.2489
Ge 0.0000 0.0000 24.4266

---

# 21
18
Lattice="4.2358 2.4455 4.0844 -4.2358 2.4455 4.0844 0.0000 -4.8911 4.0844" Properties=species:S:1:pos:R:3 comment="PBE Ca2Cu12Ni3Ge, relaxed" magnetic_moment_mub_per_fu=0.000 formation_enthalpy_0k_ev_per_atom=0.0914 pbc="T T T"
Ca 0.0000 0.0000 2.9541
Ca 0.0000 0.0000 9.2992
Cu 0.0000 -2.8000 3.2697
Cu -2.4249 1.4000 3.2697
Cu -2.0068 -1.1586 6.6343
Cu 0.0000 -2.3173 5.6189
Cu -2.0068 1.1586 5.6189
Cu -2.4249 -1.4000 8.9835
Cu 2.4249 1.4000 3.2697
Cu 2.0068 -1.1586 6.6343
Cu 0.0000 2.3173 6.6343
Cu 2.0068 1.1586 5.6189
Cu 2.4249 -1.4000 8.9835
Cu 0.0000 2.8000 8.9835
Ni -2.1179 -1.2228 4.0844
Ni -2.1179 1.2228 8.1688
Ni 0.0000 2.4455 4.0844
Ge 0.0000 0.0000 6.1266

---

# 22
10
Lattice="4.1231 0.0000 0.0000 0.0000 4.1231 0.0000 0.0000 0.0000 9.8930" Properties=species:S:1:pos:R:3 comment="PBE Ca2CuNi3Ge4, relaxed" magnetic_moment_mub_per_fu=0.000 formation_enthalpy_0k_ev_per_atom=-0.4868 pbc="T T T"
Ca 0.0000 2.0616 2.4746
Ca 2.0616 0.0000 7.4184
Cu 0.0000 0.0000 4.9465
Ni 0.0000 2.0616 8.6393
Ni 2.0616 0.0000 1.2536
Ni 2.0616 2.0616 4.9465
Ge 0.0000 0.0000 0.0000
Ge 0.0000 2.0616 6.2438
Ge 2.0616 0.0000 3.6492
Ge 2.0616 2.0616 0.0000

---

# 23
20
Lattice="9.8370 0.0000 0.0000 0.0000 9.8370 0.0000 0.0000 0.0000 3.1313" Properties=species:S:1:pos:R:3 comment="PBE Ca2CuNi5Ge2, relaxed" magnetic_moment_mub_per_fu=0.000 formation_enthalpy_0k_ev_per_atom=-0.1746 pbc="T T T"
Ca 1.6935 3.2250 0.0000
Ca 3.2250 8.1435 0.0000
Ca 6.6120 1.6935 0.0000
Ca 8.1435 6.6120 0.0000
Cu 0.0000 0.0000 0.0000
Cu 4.9185 4.9185 0.0000
Ni 0.0000 4.9185 1.5657
Ni 0.5770 7.9282 1.5657
Ni 1.9088 0.5770 1.5657
Ni 3.0097 5.4955 1.5657
Ni 4.3416 3.0097 1.5657
Ni 4.9185 0.0000 1.5657
Ni 5.4955 6.8273 1.5657
Ni 6.8273 4.3416 1.5657
Ni 7.9282 9.2601 1.5657
Ni 9.2601 1.9088 1.5657
Ge 1.2766 6.1951 0.0000
Ge 3.6419 1.2766 0.0000
Ge 6.1951 8.5604 0.0000
Ge 8.5604 3.6419 0.0000

---

# 24
10
Lattice="4.1055 0.0000 0.0000 0.0000 4.1055 0.0000 0.0000 0.0000 9.6926" Properties=species:S:1:pos:R:3 comment="PBE Ca2CuNi4Ge3, relaxed" magnetic_moment_mub_per_fu=0.000 formation_enthalpy_0k_ev_per_atom=-0.4421 pbc="T T T"
Ca 0.0000 2.0527 2.4066
Ca 2.0527 0.0000 7.2859
Cu 2.0527 2.0527 0.0000
Ni 0.0000 0.0000 4.8463
Ni 0.0000 2.0527 8.4280
Ni 2.0527 0.0000 1.2646
Ni 2.0527 2.0527 4.8463
Ge 0.0000 0.0000 0.0000
Ge 0.0000 2.0527 6.0666
Ge 2.0527 0.0000 3.6260